Entry 1:
Below is a relaxed structure of La3PtCl, with properties calculated at the PBE level.

Results
**SG**: Pm-3m, No. 221

Cell lengths 5.764, 5.764, 5.764 Å; angles 90.00, 90.00, 90.00 degrees
Sites, in units of the cell vectors:
Cl 0.500 0.500 0.500
Pt 0.000 0.000 0.000
La 0.000 0.500 0.000
La 0.000 0.000 0.500
La 0.500 0.000 0.000



Entry 2:
Below is a relaxed structure of Pr3P2Br2, with properties calculated at the PBE level.

Results
**SG**: C2/m, No. 12

Cell lengths 4.160, 7.286, 7.749 Å; angles 100.38, 89.97, 106.61 degrees
Sites, in units of the cell vectors:
Pr 0.000 0.000 0.000
Pr 0.764 0.529 0.222
Pr 0.236 0.471 0.778
P 0.626 0.251 0.898
P 0.374 0.749 0.102
Br 0.870 0.738 0.626
Br 0.130 0.262 0.374



Entry 3:
Below is a relaxed structure of SrZnCd2F, with properties calculated at the PBE level.

Results
**SG**: P4/mmm, No. 123

Cell lengths 5.199, 4.730, 5.199 Å; angles 90.00, 90.00, 90.00 degrees
Sites, in units of the cell vectors:
Sr 0.500 0.500 0.500
Zn 0.000 0.000 0.000
F 0.000 0.500 0.000
Cd 0.000 0.000 0.500
Cd 0.500 0.000 0.000



no.,total magnetization (μB/atom),calculated total energy (eV per atom)
1,0.000,-5.121
2,0.000,-5.616
3,0.000,-1.947